# 1
! Sm2Zn4NiPt3 GGA-PBE optimized geometry; values from VASP
! Fermi-level density of states (states/eV per cell): 4.4
! Volume (Å³/atom): 18.39
! Space group: P-4m2 (115)
! ΔH_f (0 K) (eV per atom): -0.6789
&SYSTEM
  ibrav = 0, nat = 10, ntyp = 4
/
ATOMIC_SPECIES
Sm 150.36 Sm.upf
Zn 65.41 Zn.upf
Ni 58.69 Ni.upf
Pt 195.08 Pt.upf
CELL_PARAMETERS angstrom
4.019 0.000 0.000
0.000 4.019 0.000
0.000 0.000 11.388
ATOMIC_POSITIONS crystal
Sm 0.000 0.500 0.245
Sm 0.500 0.000 0.755
Zn 0.000 0.000 0.500
Zn 0.000 0.500 0.871
Zn 0.500 0.000 0.129
Zn 0.500 0.500 0.500
Ni 0.500 0.500 0.000
Pt 0.000 0.000 0.000
Pt 0.000 0.500 0.648
Pt 0.500 0.000 0.352



# 2
! LiAcHoSn2 GGA-PBE optimized geometry; values from VASP
! Fermi-level density of states (states/eV per cell): 4.4
! Volume (Å³/atom): 29.66
! Space group: I-4m2 (119)
! ΔH_f (0 K) (eV per atom): -0.5606
&SYSTEM
  ibrav = 0, nat = 5, ntyp = 4
/
ATOMIC_SPECIES
Li 6.94 Li.upf
Ac 227.00 Ac.upf
Ho 164.93 Ho.upf
Sn 118.71 Sn.upf
CELL_PARAMETERS angstrom
-2.378 2.378 6.558
2.378 -2.378 6.558
2.378 2.378 -6.558
ATOMIC_POSITIONS crystal
Li 0.000 0.000 0.000
Ac 0.750 0.250 0.500
Ho 0.500 0.500 0.000
Sn 0.139 0.639 0.500
Sn 0.361 0.861 0.500



# 3
! PIr4 GGA-PBE optimized geometry; values from VASP
! Fermi-level density of states (states/eV per cell): 7.1
! Volume (Å³/atom): 16.51
! Space group: Pm-3m (221)
! ΔH_f (0 K) (eV per atom): 0.9144
&SYSTEM
  ibrav = 0, nat = 5, ntyp = 2
/
ATOMIC_SPECIES
P 30.97 P.upf
Ir 192.22 Ir.upf
CELL_PARAMETERS angstrom
4.354 0.000 0.000
0.000 4.354 0.000
0.000 0.000 4.354
ATOMIC_POSITIONS crystal
P 0.000 0.000 0.000
Ir 0.000 0.000 0.500
Ir 0.000 0.500 0.000
Ir 0.500 0.000 0.000
Ir 0.500 0.500 0.500



# 4
! MgGa2P GGA-PBE optimized geometry; values from VASP
! Fermi-level density of states (states/eV per cell): 3.8
! Volume (Å³/atom): 18.85
! Space group: Fm-3m (225)
! ΔH_f (0 K) (eV per atom): 0.1646
&SYSTEM
  ibrav = 0, nat = 4, ntyp = 3
/
ATOMIC_SPECIES
Mg 24.30 Mg.upf
Ga 69.72 Ga.upf
P 30.97 P.upf
CELL_PARAMETERS angstrom
0.000 3.353 3.353
3.353 0.000 3.353
3.353 3.353 0.000
ATOMIC_POSITIONS crystal
Mg 0.000 0.000 0.000
Ga 0.250 0.250 0.250
Ga 0.750 0.750 0.750
P 0.500 0.500 0.500



# 5
! Na2Ho2PaSe6 GGA-PBE optimized geometry; values from VASP
! Fermi-level density of states (states/eV per cell): 2.1
! Volume (Å³/atom): 28.55
! Uncorrected formation energy (eV per atom): -1.599
! Space group: C2/m (12)
&SYSTEM
  ibrav = 0, nat = 11, ntyp = 4
/
ATOMIC_SPECIES
Na 22.99 Na.upf
Ho 164.93 Ho.upf
Pa 231.04 Pa.upf
Se 78.96 Se.upf
CELL_PARAMETERS angstrom
3.586 -6.194 0.000
3.586 6.194 0.000
-2.398 0.000 7.071
ATOMIC_POSITIONS crystal
Na 0.168 0.832 0.000
Na 0.832 0.168 0.000
Ho 0.334 0.666 0.500
Ho 0.666 0.334 0.500
Pa 0.000 0.000 0.500
Se 0.074 0.407 0.726
Se 0.256 0.256 0.275
Se 0.407 0.074 0.726
Se 0.593 0.926 0.274
Se 0.744 0.744 0.725
Se 0.926 0.593 0.274



# 6
! PrPuSeS GGA-PBE optimized geometry; values from VASP
! Fermi-level density of states (states/eV per cell): 8.5
! Volume (Å³/atom): 24.70
! Uncorrected formation energy (eV per atom): -1.803
! Space group: R3m (160)
&SYSTEM
  ibrav = 0, nat = 4, ntyp = 4
/
ATOMIC_SPECIES
Pr 140.91 Pr.upf
Pu 244.00 Pu.upf
Se 78.96 Se.upf
S 32.06 S.upf
CELL_PARAMETERS angstrom
2.048 1.182 6.802
-2.048 1.182 6.802
0.000 -2.365 6.802
ATOMIC_POSITIONS crystal
Pr 0.000 0.000 0.000
Pu 0.510 0.510 0.510
Se 0.759 0.759 0.759
S 0.251 0.251 0.251



# 7
! La5Ho2Er GGA-PBE optimized geometry; values from VASP
! Fermi-level density of states (states/eV per cell): 22.9
! Volume (Å³/atom): 35.50
! Space group: Cmcm (63)
! ΔH_f (0 K) (eV per atom): 0.1167
&SYSTEM
  ibrav = 0, nat = 16, ntyp = 3
/
ATOMIC_SPECIES
La 138.91 La.upf
Ho 164.93 Ho.upf
Er 167.26 Er.upf
CELL_PARAMETERS angstrom
2.834 -6.065 0.000
2.834 6.065 0.000
0.000 0.000 16.525
ATOMIC_POSITIONS crystal
La 0.031 0.969 0.750
La 0.115 0.885 0.052
La 0.115 0.885 0.448
La 0.424 0.576 0.094
La 0.424 0.576 0.406
La 0.576 0.424 0.594
La 0.576 0.424 0.906
La 0.885 0.115 0.552
La 0.885 0.115 0.948
La 0.969 0.031 0.250
Ho 0.274 0.726 0.637
Ho 0.274 0.726 0.863
Ho 0.726 0.274 0.137
Ho 0.726 0.274 0.363
Er 0.248 0.752 0.250
Er 0.752 0.248 0.750



# 8
! TaAl3Ni GGA-PBE optimized geometry; values from VASP
! Fermi-level density of states (states/eV per cell): 3.1
! Volume (Å³/atom): 16.88
! Space group: Pm-3m (221)
! ΔH_f (0 K) (eV per atom): 0.3372
&SYSTEM
  ibrav = 0, nat = 5, ntyp = 3
/
ATOMIC_SPECIES
Ta 180.95 Ta.upf
Al 26.98 Al.upf
Ni 58.69 Ni.upf
CELL_PARAMETERS angstrom
4.387 0.000 0.000
0.000 4.387 0.000
0.000 0.000 4.387
ATOMIC_POSITIONS crystal
Ta 0.000 0.000 0.000
Al 0.000 0.500 0.500
Al 0.500 0.000 0.500
Al 0.500 0.500 0.000
Ni 0.500 0.500 0.500



# 9
! Th4InTc2 GGA-PBE optimized geometry; values from VASP
! Fermi-level density of states (states/eV per cell): 6.8
! Volume (Å³/atom): 28.50
! Space group: R-3m (166)
! ΔH_f (0 K) (eV per atom): -0.0323
&SYSTEM
  ibrav = 0, nat = 7, ntyp = 3
/
ATOMIC_SPECIES
Th 232.04 Th.upf
In 114.82 In.upf
Tc 98.00 Tc.upf
CELL_PARAMETERS angstrom
2.352 1.358 10.413
-2.352 1.358 10.413
0.000 -2.716 10.413
ATOMIC_POSITIONS crystal
Th 0.111 0.111 0.111
Th 0.296 0.296 0.296
Th 0.704 0.704 0.704
Th 0.889 0.889 0.889
In 0.500 0.500 0.500
Tc 0.396 0.396 0.396
Tc 0.604 0.604 0.604



# 10
! Ca2Si3Ni5 GGA-PBE optimized geometry; values from VASP
! Fermi-level density of states (states/eV per cell): 10.2
! Volume (Å³/atom): 15.57
! Uncorrected formation energy (eV per atom): -0.441
! Space group: Cmc2_1 (36)
&SYSTEM
  ibrav = 0, nat = 20, ntyp = 3
/
ATOMIC_SPECIES
Ca 40.08 Ca.upf
Si 28.09 Si.upf
Ni 58.69 Ni.upf
CELL_PARAMETERS angstrom
1.950 -12.500 0.000
1.950 12.500 0.000
0.000 0.000 6.386
ATOMIC_POSITIONS crystal
Ca 0.019 0.981 0.500
Ca 0.323 0.677 0.488
Ca 0.677 0.323 0.988
Ca 0.981 0.019 0.000
Si 0.119 0.881 0.279
Si 0.271 0.729 0.022
Si 0.434 0.566 0.298
Si 0.566 0.434 0.798
Si 0.729 0.271 0.522
Si 0.881 0.119 0.779
Ni 0.091 0.909 0.930
Ni 0.212 0.788 0.323
Ni 0.224 0.776 0.712
Ni 0.366 0.634 0.002
Ni 0.425 0.575 0.676
Ni 0.575 0.425 0.176
Ni 0.634 0.366 0.502
Ni 0.776 0.224 0.212
Ni 0.788 0.212 0.823
Ni 0.909 0.091 0.430



# 11
! SnPdC3 GGA-PBE optimized geometry; values from VASP
! Fermi-level density of states (states/eV per cell): 3.6
! Volume (Å³/atom): 15.44
! Space group: Pm-3m (221)
! ΔH_f (0 K) (eV per atom): 2.9985
&SYSTEM
  ibrav = 0, nat = 5, ntyp = 3
/
ATOMIC_SPECIES
Sn 118.71 Sn.upf
Pd 106.42 Pd.upf
C 12.01 C.upf
CELL_PARAMETERS angstrom
4.258 0.000 0.000
0.000 4.258 0.000
0.000 0.000 4.258
ATOMIC_POSITIONS crystal
Sn 0.000 0.000 0.000
Pd 0.500 0.500 0.500
C 0.000 0.000 0.500
C 0.000 0.500 0.000
C 0.500 0.000 0.000



# 12
! Nd3YTl2 GGA-PBE optimized geometry; values from VASP
! Fermi-level density of states (states/eV per cell): 12.5
! Volume (Å³/atom): 31.74
! Space group: C2/m (12)
! ΔH_f (0 K) (eV per atom): -0.1897
&SYSTEM
  ibrav = 0, nat = 12, ntyp = 3
/
ATOMIC_SPECIES
Nd 144.24 Nd.upf
Y 88.91 Y.upf
Tl 204.38 Tl.upf
CELL_PARAMETERS angstrom
8.279 -2.526 0.000
8.279 2.526 0.000
-4.936 0.000 9.109
ATOMIC_POSITIONS crystal
Nd 0.042 0.042 0.362
Nd 0.288 0.288 0.619
Nd 0.367 0.367 0.326
Nd 0.633 0.633 0.674
Nd 0.712 0.712 0.381
Nd 0.958 0.958 0.638
Y 0.118 0.118 0.066
Y 0.882 0.882 0.934
Tl 0.242 0.242 0.897
Tl 0.490 0.490 0.140
Tl 0.510 0.510 0.860
Tl 0.758 0.758 0.103



# 13
! YFeB2 GGA-PBE optimized geometry; values from VASP
! Fermi-level density of states (states/eV per cell): 5.1
! Volume (Å³/atom): 11.61
! Space group: Pnma (62)
! ΔH_f (0 K) (eV per atom): -0.4710
&SYSTEM
  ibrav = 0, nat = 16, ntyp = 3
/
ATOMIC_SPECIES
Y 88.91 Y.upf
Fe 55.84 Fe.upf
B 10.81 B.upf
CELL_PARAMETERS angstrom
5.811 0.000 0.000
0.000 5.207 0.000
0.000 0.000 6.140
ATOMIC_POSITIONS crystal
Y 0.005 0.250 0.155
Y 0.495 0.750 0.655
Y 0.505 0.250 0.345
Y 0.995 0.750 0.845
Fe 0.179 0.250 0.681
Fe 0.321 0.750 0.181
Fe 0.679 0.250 0.819
Fe 0.821 0.750 0.319
B 0.126 0.583 0.457
B 0.126 0.917 0.457
B 0.374 0.083 0.957
B 0.374 0.417 0.957
B 0.626 0.583 0.043
B 0.626 0.917 0.043
B 0.874 0.083 0.543
B 0.874 0.417 0.543



# 14
! NaSc3I GGA-PBE optimized geometry; values from VASP
! Fermi-level density of states (states/eV per cell): 6.0
! Volume (Å³/atom): 30.06
! Uncorrected formation energy (eV per atom): 0.875
! Space group: Pm-3m (221)
&SYSTEM
  ibrav = 0, nat = 5, ntyp = 3
/
ATOMIC_SPECIES
Na 22.99 Na.upf
Sc 44.96 Sc.upf
I 126.90 I.upf
CELL_PARAMETERS angstrom
5.317 0.000 0.000
0.000 5.317 0.000
0.000 0.000 5.317
ATOMIC_POSITIONS crystal
Na 0.000 0.000 0.000
Sc 0.000 0.000 0.500
Sc 0.000 0.500 0.000
Sc 0.500 0.000 0.000
I 0.500 0.500 0.500



# 15
! TlRu2 GGA-PBE optimized geometry; values from VASP
! Fermi-level density of states (states/eV per cell): 4.4
! Volume (Å³/atom): 19.76
! Space group: P4/mmm (123)
! ΔH_f (0 K) (eV per atom): 0.8586
&SYSTEM
  ibrav = 0, nat = 3, ntyp = 2
/
ATOMIC_SPECIES
Tl 204.38 Tl.upf
Ru 101.07 Ru.upf
CELL_PARAMETERS angstrom
3.551 0.000 0.000
0.000 3.551 0.000
0.000 0.000 4.703
ATOMIC_POSITIONS crystal
Tl 0.000 0.000 0.000
Ru 0.000 0.500 0.500
Ru 0.500 0.000 0.500



# 16
! TaTiCd2Rh GGA-PBE optimized geometry; values from VASP
! Fermi-level density of states (states/eV per cell): 6.7
! Volume (Å³/atom): 23.66
! Space group: P4/mmm (123)
! ΔH_f (0 K) (eV per atom): 0.8656
&SYSTEM
  ibrav = 0, nat = 5, ntyp = 4
/
ATOMIC_SPECIES
Ta 180.95 Ta.upf
Ti 47.87 Ti.upf
Cd 112.41 Cd.upf
Rh 102.91 Rh.upf
CELL_PARAMETERS angstrom
4.999 0.000 0.000
0.000 4.999 0.000
0.000 0.000 4.734
ATOMIC_POSITIONS crystal
Ta 0.000 0.000 0.000
Ti 0.500 0.500 0.000
Cd 0.000 0.500 0.500
Cd 0.500 0.000 0.500
Rh 0.000 0.000 0.500



# 17
! UCoPtRh GGA-PBE optimized geometry; values from VASP
! Fermi-level density of states (states/eV per cell): 3.5
! Volume (Å³/atom): 15.87
! Space group: Pmmm (47)
! ΔH_f (0 K) (eV per atom): -0.5615
&SYSTEM
  ibrav = 0, nat = 4, ntyp = 4
/
ATOMIC_SPECIES
U 238.03 U.upf
Co 58.93 Co.upf
Pt 195.08 Pt.upf
Rh 102.91 Rh.upf
CELL_PARAMETERS angstrom
3.844 0.000 0.000
0.000 4.056 0.000
0.000 0.000 4.071
ATOMIC_POSITIONS crystal
U 0.000 0.000 0.000
Co 0.500 0.500 0.000
Pt 0.000 0.500 0.500
Rh 0.500 0.000 0.500



# 18
! CsNb2C2 GGA-PBE optimized geometry; values from VASP
! Fermi-level density of states (states/eV per cell): 3.0
! Volume (Å³/atom): 25.69
! Space group: I4/mmm (139)
! ΔH_f (0 K) (eV per atom): 0.3369
&SYSTEM
  ibrav = 0, nat = 5, ntyp = 3
/
ATOMIC_SPECIES
Cs 132.91 Cs.upf
Nb 92.91 Nb.upf
C 12.01 C.upf
CELL_PARAMETERS angstrom
-2.104 2.104 7.259
2.104 -2.104 7.259
2.104 2.104 -7.259
ATOMIC_POSITIONS crystal
Cs 0.000 0.000 0.000
Nb 0.276 0.276 0.000
Nb 0.724 0.724 0.000
C 0.250 0.750 0.500
C 0.750 0.250 0.500



# 19
! ZnRe2PbO8 GGA-PBE optimized geometry; values from VASP
! Fermi-level density of states (states/eV per cell): 0.5
! Volume (Å³/atom): 14.63
! Uncorrected formation energy (eV per atom): -1.369
! Space group: C2/m (12)
&SYSTEM
  ibrav = 0, nat = 12, ntyp = 4
/
ATOMIC_SPECIES
Zn 65.41 Zn.upf
Re 186.21 Re.upf
Pb 207.20 Pb.upf
O 16.00 O.upf
CELL_PARAMETERS angstrom
3.809 -3.195 0.000
3.809 3.195 0.000
-0.451 0.000 7.213
ATOMIC_POSITIONS crystal
Zn 0.000 0.000 0.000
Re 0.445 0.445 0.800
Re 0.555 0.555 0.200
Pb 0.000 0.000 0.500
O 0.215 0.775 0.207
O 0.225 0.785 0.793
O 0.315 0.315 0.006
O 0.325 0.325 0.579
O 0.675 0.675 0.421
O 0.685 0.685 0.994
O 0.775 0.215 0.207
O 0.785 0.225 0.793



# 20
! LaPr3 GGA-PBE optimized geometry; values from VASP
! Fermi-level density of states (states/eV per cell): 6.8
! Volume (Å³/atom): 36.75
! Space group: Pmm2 (25)
! ΔH_f (0 K) (eV per atom): 0.0322
&SYSTEM
  ibrav = 0, nat = 4, ntyp = 2
/
ATOMIC_SPECIES
La 138.91 La.upf
Pr 140.91 Pr.upf
CELL_PARAMETERS angstrom
3.736 0.000 0.000
0.000 6.066 0.000
0.000 0.000 6.487
ATOMIC_POSITIONS crystal
La 0.000 0.000 0.000
Pr 0.000 0.500 0.331
Pr 0.500 0.000 0.501
Pr 0.500 0.500 0.830